This record from Alexandria describes a relaxed KRhW2 crystal. The functional is PBE-GGA.

The structure in extended XYZ format:
```
4
Lattice="3.838 0.000 0.000 0.000 3.838 0.000 0.000 0.000 5.000" Properties=species:S:1:pos:R:3 pbc="T T T"
K 0.000 0.000 0.000
Rh 1.919 1.919 0.000
W 0.000 1.919 2.500
W 1.919 0.000 2.500
```

Results
For the energy of formation from the pure elements, the calculation gives 1.584 eV/atom. As for the space group: No. 123. For the total energy, the calculation gives -28.02 eV/f.u. As for the density of states at the Fermi level: 1.147 states/eV per atom. The energy above the most stable polymorph in this dataset is 961.7 meV per atom.

---

This record from Alexandria describes a relaxed K2RhW crystal. The functional is PBE-GGA.

The structure in extended XYZ format:
```
4
Lattice="-1.893 3.025 5.611 1.893 -3.025 5.611 1.893 3.025 -5.611" Properties=species:S:1:pos:R:3 pbc="T T T"
K 0.000 0.000 0.000
K 0.000 3.025 2.290
Rh 1.893 0.000 3.071
W 0.000 0.000 4.460
```

Results
For the energy of formation from the pure elements, the calculation gives 1.073 eV/atom. As for the space group: No. 44. For the total energy, the calculation gives -18.21 eV/f.u. As for the density of states at the Fermi level: 0.785 states/eV per atom. The energy above the most stable polymorph in this dataset is 398.4 meV per atom.

---

This record from Alexandria describes a relaxed K2RhW crystal. The functional is PBE-GGA.

The structure in extended XYZ format:
```
8
Lattice="-6.135 6.135 2.359 6.135 -6.135 2.359 6.135 6.135 -2.359" Properties=species:S:1:pos:R:3 pbc="T T T"
K 0.959 3.068 0.590
K -3.068 5.176 1.769
K -0.959 9.203 0.590
K 3.068 7.094 1.769
Rh 0.000 0.000 0.000
Rh 0.000 6.135 1.180
W 6.135 0.000 1.180
W 0.000 0.000 2.359
```

Results
For the energy of formation from the pure elements, the calculation gives 1.337 eV/atom. As for the space group: No. 122. For the total energy, the calculation gives -17.15 eV/f.u. As for the density of states at the Fermi level: 1.061 states/eV per atom. The energy above the most stable polymorph in this dataset is 661.7 meV per atom.

---

This record from Alexandria describes a relaxed KRhW2 crystal. The functional is PBE-GGA.

The structure in extended XYZ format:
```
4
Lattice="0.000 3.276 3.276 3.276 0.000 3.276 3.276 3.276 0.000" Properties=species:S:1:pos:R:3 pbc="T T T"
K 0.000 0.000 0.000
Rh 1.638 1.638 1.638
W 3.276 3.276 3.276
W 4.914 4.914 4.914
```

Results
For the energy of formation from the pure elements, the calculation gives 1.405 eV/atom. As for the space group: No. 216. For the total energy, the calculation gives -28.74 eV/f.u. As for the density of states at the Fermi level: 1.290 states/eV per atom. The energy above the most stable polymorph in this dataset is 782.7 meV per atom.

---

This record from Alexandria describes a relaxed KRhW2 crystal. The functional is PBE-GGA.

The structure in extended XYZ format:
```
4
Lattice="1.499 -2.302 0.000 1.499 2.302 0.000 0.000 0.000 10.797" Properties=species:S:1:pos:R:3 pbc="T T T"
K 0.000 0.000 0.000
Rh 0.000 0.000 5.398
W 1.499 0.000 3.158
W 1.499 0.000 7.639
```

Results
For the energy of formation from the pure elements, the calculation gives 0.878 eV/atom. As for the space group: No. 65. For the total energy, the calculation gives -30.84 eV/f.u. As for the density of states at the Fermi level: 1.346 states/eV per atom. The energy above the most stable polymorph in this dataset is 256.0 meV per atom.

---

This record from Alexandria describes a relaxed KRhW2 crystal. The functional is PBE-GGA.

The structure in extended XYZ format:
```
4
Lattice="2.731 -5.051 0.000 2.731 5.051 0.000 -0.870 0.000 2.582" Properties=species:S:1:pos:R:3 pbc="T T T"
K 0.000 0.000 0.000
Rh 2.731 0.000 0.000
W 0.930 2.525 1.291
W 0.930 -2.525 1.291
```

Results
For the energy of formation from the pure elements, the calculation gives 1.293 eV/atom. As for the space group: No. 12. For the total energy, the calculation gives -29.18 eV/f.u. As for the density of states at the Fermi level: 0.963 states/eV per atom. The energy above the most stable polymorph in this dataset is 671.4 meV per atom.

---

This record from Alexandria describes a relaxed KRhW crystal. The functional is PBE-GGA.

The structure in extended XYZ format:
```
3
Lattice="0.000 3.304 3.304 3.304 0.000 3.304 3.304 3.304 0.000" Properties=species:S:1:pos:R:3 pbc="T T T"
K 0.000 0.000 0.000
Rh 1.652 1.652 1.652
W 4.955 4.955 4.955
```

Results
For the energy of formation from the pure elements, the calculation gives 2.914 eV/atom. As for the space group: No. 216. For the total energy, the calculation gives -12.66 eV/f.u. As for the density of states at the Fermi level: 1.866 states/eV per atom. The energy above the most stable polymorph in this dataset is 2164.0 meV per atom.

---

This record from Alexandria describes a relaxed K2RhW crystal. The functional is PBE-GGA.

The structure in extended XYZ format:
```
4
Lattice="2.803 0.000 0.000 0.000 5.337 0.000 0.000 0.000 5.794" Properties=species:S:1:pos:R:3 pbc="T T T"
K 0.000 1.319 0.000
K 0.000 4.018 0.000
Rh 1.402 0.000 2.897
W 1.402 2.668 2.897
```

Results
For the energy of formation from the pure elements, the calculation gives 1.264 eV/atom. As for the space group: No. 47. For the total energy, the calculation gives -17.44 eV/f.u. As for the density of states at the Fermi level: 1.137 states/eV per atom. The energy above the most stable polymorph in this dataset is 589.1 meV per atom.

---

> Look up the energy of formation from the pure elements of the eighth one.

1.264 eV/atom